Record 1
# PBE CrCd2Re, relaxed
data_CrCd2Re
_cell_length_a 3.261
_cell_length_b 4.408
_cell_length_c 9.436
_cell_angle_alpha 90.00
_cell_angle_beta 90.00
_cell_angle_gamma 90.00
_space_group_name_H-M_alt 'I m m m'
_space_group_IT_number 71
_space_group_name_Hall '-I 2 2'
loop_
_atom_site_label
_atom_site_type_symbol
_atom_site_fract_x
_atom_site_fract_y
_atom_site_fract_z
Cr1 Cr 0.000 0.000 0.000
Cd1 Cd 0.000 0.500 0.255
Re1 Re 0.000 0.000 0.500
# ΔH_f (0 K), eV per atom: 0.643
# Relative energy among the computed polymorphs, meV/atom: 350.2



Record 2
# PBE YMn2Br, relaxed
data_YMn2Br
_cell_length_a 3.978
_cell_length_b 3.978
_cell_length_c 5.396
_cell_angle_alpha 90.00
_cell_angle_beta 90.00
_cell_angle_gamma 90.00
_space_group_name_H-M_alt 'P 4/m m m'
_space_group_IT_number 123
_space_group_name_Hall '-P 4 2'
loop_
_atom_site_label
_atom_site_type_symbol
_atom_site_fract_x
_atom_site_fract_y
_atom_site_fract_z
Y1 Y 0.000 0.000 0.000
Mn1 Mn 0.000 0.500 0.500
Br1 Br 0.500 0.500 0.000
# E_form (uncorrected), meV per atom: 280
# Relative energy among the computed polymorphs, meV/atom: 372.6



Record 3
# PBE CaLaGe2Pt5, relaxed
data_CaLaGe2Pt5
_cell_length_a 4.315
_cell_length_b 4.315
_cell_length_c 9.240
_cell_angle_alpha 90.00
_cell_angle_beta 90.00
_cell_angle_gamma 90.00
_space_group_name_H-M_alt 'P 4/m m m'
_space_group_IT_number 123
_space_group_name_Hall '-P 4 2'
loop_
_atom_site_label
_atom_site_type_symbol
_atom_site_fract_x
_atom_site_fract_y
_atom_site_fract_z
Ca1 Ca 0.000 0.000 0.000
La1 La 0.000 0.000 0.500
Ge1 Ge 0.500 0.500 0.135
Pt1 Pt 0.000 0.500 0.268
Pt2 Pt 0.500 0.500 0.500
# ΔH_f (0 K), eV per atom: -0.844



Record 4
# PBE Tb3PrTmSc, relaxed
data_Tb3PrTmSc
_cell_length_a 4.971
_cell_length_b 14.933
_cell_length_c 10.020
_cell_angle_alpha 90.00
_cell_angle_beta 90.00
_cell_angle_gamma 90.00
_space_group_name_H-M_alt 'C m c m'
_space_group_IT_number 63
_space_group_name_Hall '-C 2c 2'
loop_
_atom_site_label
_atom_site_type_symbol
_atom_site_fract_x
_atom_site_fract_y
_atom_site_fract_z
Tb1 Tb 0.000 0.167 0.000
Tb2 Tb 0.000 0.330 0.250
Pr1 Pr 0.000 0.003 0.250
Tm1 Tm 0.000 0.500 0.000
Sc1 Sc 0.000 0.332 0.750
# ΔH_f (0 K), eV per atom: 0.039



Record 5
# PBE BaCe4Cu3S12, relaxed
data_BaCe4Cu3S12
_cell_length_a 9.869
_cell_length_b 9.869
_cell_length_c 9.869
_cell_angle_alpha 90.00
_cell_angle_beta 90.00
_cell_angle_gamma 90.00
_space_group_name_H-M_alt 'I m -3'
_space_group_IT_number 204
_space_group_name_Hall '-I 2 2 3'
loop_
_atom_site_label
_atom_site_type_symbol
_atom_site_fract_x
_atom_site_fract_y
_atom_site_fract_z
Ba1 Ba 0.000 0.000 0.000
Ce1 Ce 0.250 0.250 0.250
Cu1 Cu 0.000 0.000 0.500
S1 S 0.000 0.322 0.155
# E_form (uncorrected), meV per atom: -1177



Record 6
# PBE LiCa2SmTl4, relaxed
data_LiCa2SmTl4
_cell_length_a 5.3624
_cell_length_b 5.3624
_cell_length_c 26.6993
_cell_angle_alpha 90.00
_cell_angle_beta 90.00
_cell_angle_gamma 120.00
_space_group_name_H-M_alt 'R -3 m'
_space_group_IT_number 166
_space_group_name_Hall '-R 3 2"'
loop_
_atom_site_label
_atom_site_type_symbol
_atom_site_fract_x
_atom_site_fract_y
_atom_site_fract_z
Li1 Li 0.0000 0.0000 0.0000
Ca1 Ca 0.0000 0.0000 0.2532
Sm1 Sm 0.0000 0.0000 0.5000
Tl1 Tl 0.0000 0.0000 0.1220
Tl2 Tl 0.0000 0.0000 0.3734
# ΔH_f (0 K), eV per atom: -0.351



Record 7
# PBE Ce3Zn2In, relaxed
data_Ce3Zn2In
_cell_length_a 5.239
_cell_length_b 15.651
_cell_length_c 3.740
_cell_angle_alpha 90.00
_cell_angle_beta 90.00
_cell_angle_gamma 90.00
_space_group_name_H-M_alt 'C m m m'
_space_group_IT_number 65
_space_group_name_Hall '-C 2 2'
loop_
_atom_site_label
_atom_site_type_symbol
_atom_site_fract_x
_atom_site_fract_y
_atom_site_fract_z
Ce1 Ce 0.000 0.000 0.000
Ce2 Ce 0.000 0.322 0.000
Zn1 Zn 0.000 0.161 0.500
In1 In 0.000 0.500 0.500
# ΔH_f (0 K), eV per atom: -0.202
# Relative energy among the computed polymorphs, meV/atom: 48.7



Record 8
# PBE La2Sm6Sc, relaxed
data_La2Sm6Sc
_cell_length_a 3.6127
_cell_length_b 3.6127
_cell_length_c 26.8208
_cell_angle_alpha 90.00
_cell_angle_beta 90.00
_cell_angle_gamma 120.00
_space_group_name_H-M_alt 'P -6 m 2'
_space_group_IT_number 187
_space_group_name_Hall 'P -6 2'
loop_
_atom_site_label
_atom_site_type_symbol
_atom_site_fract_x
_atom_site_fract_y
_atom_site_fract_z
La1 La 0.0000 0.0000 0.1732
Sm1 Sm 0.0000 0.0000 0.3994
Sm2 Sm 0.6667 0.3333 0.0627
Sm3 Sm 0.6667 0.3333 0.2899
Sc1 Sc 0.6667 0.3333 0.5000
# ΔH_f (0 K), eV per atom: 0.077
# Relative energy among the computed polymorphs, meV/atom: 0.0



Record 9
# PBE SnN2O2, relaxed
data_SnN2O2
_cell_length_a 3.975
_cell_length_b 3.975
_cell_length_c 4.281
_cell_angle_alpha 90.00
_cell_angle_beta 90.00
_cell_angle_gamma 90.00
_space_group_name_H-M_alt 'P 4/m m m'
_space_group_IT_number 123
_space_group_name_Hall '-P 4 2'
loop_
_atom_site_label
_atom_site_type_symbol
_atom_site_fract_x
_atom_site_fract_y
_atom_site_fract_z
Sn1 Sn 0.000 0.000 0.000
N1 N 0.000 0.000 0.500
N2 N 0.500 0.500 0.500
O1 O 0.000 0.500 0.000
# E_form (uncorrected), meV per atom: 1693
# Relative energy among the computed polymorphs, meV/atom: 2560.7



Record 10
# PBE NaLiTl2Cu, relaxed
data_NaLiTl2Cu
_cell_length_a 5.168
_cell_length_b 5.168
_cell_length_c 4.964
_cell_angle_alpha 90.00
_cell_angle_beta 90.00
_cell_angle_gamma 90.00
_space_group_name_H-M_alt 'P 4/m m m'
_space_group_IT_number 123
_space_group_name_Hall '-P 4 2'
loop_
_atom_site_label
_atom_site_type_symbol
_atom_site_fract_x
_atom_site_fract_y
_atom_site_fract_z
Na1 Na 0.000 0.000 0.000
Li1 Li 0.500 0.500 0.000
Tl1 Tl 0.000 0.500 0.500
Cu1 Cu 0.500 0.500 0.500
# ΔH_f (0 K), eV per atom: 0.069



Record 11
# PBE Sm3TlP, relaxed
data_Sm3TlP
_cell_length_a 5.396
_cell_length_b 5.396
_cell_length_c 5.396
_cell_angle_alpha 90.00
_cell_angle_beta 90.00
_cell_angle_gamma 90.00
_space_group_name_H-M_alt 'P m -3 m'
_space_group_IT_number 221
_space_group_name_Hall '-P 4 2 3'
loop_
_atom_site_label
_atom_site_type_symbol
_atom_site_fract_x
_atom_site_fract_y
_atom_site_fract_z
Sm1 Sm 0.000 0.000 0.500
Tl1 Tl 0.500 0.500 0.500
P1 P 0.000 0.000 0.000
# ΔH_f (0 K), eV per atom: -0.653
# Relative energy among the computed polymorphs, meV/atom: 145.7



Record 12
# PBE Ba6NaPd, relaxed
data_Ba6NaPd
_cell_length_a 15.435
_cell_length_b 7.802
_cell_length_c 15.353
_cell_angle_alpha 90.00
_cell_angle_beta 102.15
_cell_angle_gamma 90.00
_space_group_name_H-M_alt 'C 1 2/c 1'
_space_group_IT_number 15
loop_
_space_group_symop_operation_xyz
'x,y,z'
'-x,-y,-z'
'-x,y,-z+1/2'
'x,-y,z+1/2'
'x+1/2,y+1/2,z'
'-x+1/2,-y+1/2,-z'
'-x+1/2,y+1/2,-z+1/2'
'x+1/2,-y+1/2,z+1/2'
loop_
_atom_site_label
_atom_site_type_symbol
_atom_site_fract_x
_atom_site_fract_y
_atom_site_fract_z
Ba1 Ba 0.075 0.082 0.391
Ba2 Ba 0.141 0.422 0.032
Ba3 Ba 0.216 0.090 0.677
Na1 Na 0.000 0.419 0.750
Pd1 Pd 0.250 0.250 0.500
# ΔH_f (0 K), eV per atom: -0.154
# Relative energy among the computed polymorphs, meV/atom: 0.0



| no. | D(E_F) (states/eV/cell) |
| --- | --- |
| 1 | 5.80 |
| 2 | 4.79 |
| 3 | 4.89 |
| 4 | 35.64 |
| 5 | 25.11 |
| 6 | 16.01 |
| 7 | 38.90 |
| 8 | 15.31 |
| 9 | 8.38 |
| 10 | 2.47 |
| 11 | 2.44 |
| 12 | 31.80 |